Material: Pr2Mg5Hg3
Method: DFT, GGA-PBE
State: optimized geometry

POSCAR file:
```
Pr2Mg5Hg3
1.0
-6.277 6.325 3.205
6.277 -6.325 3.205
6.277 6.325 -3.205
Pr Mg Hg
4 10 6
direct
0.132 0.241 0.373
0.368 0.741 0.110
0.632 0.259 0.890
0.868 0.759 0.627
0.002 0.750 0.252
0.111 0.644 0.755
0.250 0.250 0.000
0.389 0.144 0.533
0.498 0.750 0.748
0.502 0.250 0.252
0.611 0.856 0.467
0.750 0.750 0.000
0.889 0.356 0.245
0.998 0.250 0.748
0.128 0.859 0.987
0.250 0.750 0.500
0.372 0.359 0.731
0.628 0.641 0.269
0.750 0.250 0.500
0.872 0.141 0.013
```

Results
- space group = Ibam
- energy of formation from the pure elements (kJ/mol of atoms) = -24.1